No. 1
This record from Alexandria via LeMat-Bulk describes Sr2TbGeSe5 after structural relaxation. The functional is PBE.

Lattice parameters (Å, degrees): 4.3429 18.5744 12.5771 90.00 90.00 90.00
Space group Cmc2_1 (No. 36)
Symmetry-distinct sites (fractional):
Sr 0.0000 0.1172 0.0000
Sr 0.0000 0.1225 0.6388
Tb 0.0000 0.2090 0.3425
Ge 0.0000 0.4440 0.7610
Se 0.0000 0.0461 0.3589
Se 0.0000 0.2923 0.9922
Se 0.0000 0.3172 0.6854
Se 0.0000 0.3580 0.3218
Se 0.0000 0.4993 0.0862

E_form (uncorrected), eV per atom: -1.4964
E_tot, eV for the cell shown: -174.00
Calculated volume, A^3/atom: 28.2

---

No. 2
This record from Alexandria via LeMat-Bulk describes Sr2GeTeSe5 after structural relaxation. The functional is PBE.

Lattice parameters (Å, degrees): 4.6063 17.6422 12.8463 90.00 90.00 90.00
Space group Cmc2_1 (No. 36)
Symmetry-distinct sites (fractional):
Sr 0.0000 0.1064 0.0000
Sr 0.0000 0.1292 0.6501
Ge 0.0000 0.4426 0.7313
Te 0.0000 0.2108 0.3552
Se 0.0000 0.0312 0.3118
Se 0.0000 0.2884 0.9631
Se 0.0000 0.3183 0.6467
Se 0.0000 0.3574 0.3237
Se 0.0000 0.4830 0.0717

E_form (uncorrected), eV per atom: -0.9426
E_tot, eV for the cell shown: -148.12
Calculated volume, A^3/atom: 29.0

---

No. 3
This record from Alexandria via LeMat-Bulk describes SrTl2GeSe4 after structural relaxation. The functional is PBE.

Lattice parameters (Å, degrees): 8.5091 8.7943 12.0013 90.00 90.00 90.00
Space group Imma (No. 74)
Symmetry-distinct sites (fractional):
Sr 0.0000 0.0000 0.0000
Tl 0.0000 0.0000 0.5000
Tl 0.2500 0.2500 0.2500
Ge 0.2500 0.2500 0.7500
Se 0.0000 0.0318 0.7456
Se 0.2476 0.2500 0.5160

E_form (uncorrected), eV per atom: -0.6260
E_tot, eV for the cell shown: -119.91
Calculated volume, A^3/atom: 28.1

---

No. 4
This record from Alexandria via LeMat-Bulk describes SrTlGeSe2 after structural relaxation. The functional is PBE.

Lattice parameters (Å, degrees): 5.2771 5.2771 5.6454 90.00 90.00 90.00
Space group P4/mmm (No. 123)
Symmetry-distinct sites (fractional):
Sr 0.0000 0.0000 0.0000
Tl 0.5000 0.5000 0.0000
Ge 0.0000 0.0000 0.5000
Se 0.0000 0.5000 0.5000

E_form (uncorrected), eV per atom: -0.1606
E_tot, eV for the cell shown: -16.44
Calculated volume, A^3/atom: 31.4

---

No. 5
This record from Alexandria via LeMat-Bulk describes Sr2TlGeSe5 after structural relaxation. The functional is PBE.

Lattice parameters (Å, degrees): 4.2880 19.2166 12.3278 90.00 90.00 90.00
Space group Cmc2_1 (No. 36)
Symmetry-distinct sites (fractional):
Sr 0.0000 0.1161 0.0000
Sr 0.0000 0.1176 0.6324
Tl 0.0000 0.2201 0.3525
Ge 0.0000 0.4358 0.7615
Se 0.0000 0.0413 0.3617
Se 0.0000 0.2844 0.0117
Se 0.0000 0.3186 0.6857
Se 0.0000 0.3625 0.3192
Se 0.0000 0.4972 0.5908

E_form (uncorrected), eV per atom: -1.0222
E_tot, eV for the cell shown: -147.88
Calculated volume, A^3/atom: 28.2

---

No. 6
This record from Alexandria via LeMat-Bulk describes Sr2TmGeSe5 after structural relaxation. The functional is PBE.

Lattice parameters (Å, degrees): 4.3163 18.4447 12.5769 90.00 90.00 90.00
Space group Cmc2_1 (No. 36)
Symmetry-distinct sites (fractional):
Sr 0.0000 0.1179 0.0000
Sr 0.0000 0.1241 0.6380
Tm 0.0000 0.2090 0.3429
Ge 0.0000 0.4432 0.7617
Se 0.0000 0.0478 0.3610
Se 0.0000 0.2919 0.9895
Se 0.0000 0.3153 0.6882
Se 0.0000 0.3566 0.3216
Se 0.0000 0.4995 0.0871

E_form (uncorrected), eV per atom: -1.4897
E_tot, eV for the cell shown: -173.13
Calculated volume, A^3/atom: 27.8

---

No. 7
This record from Alexandria via LeMat-Bulk describes Sr2YGeSe5 after structural relaxation. The functional is PBE.

Lattice parameters (Å, degrees): 4.3384 18.5391 12.5866 90.00 90.00 90.00
Space group Cmc2_1 (No. 36)
Symmetry-distinct sites (fractional):
Sr 0.0000 0.1174 0.0000
Sr 0.0000 0.1229 0.6389
Y 0.0000 0.2089 0.3429
Ge 0.0000 0.4439 0.7609
Se 0.0000 0.0465 0.3591
Se 0.0000 0.2920 0.9921
Se 0.0000 0.3168 0.6863
Se 0.0000 0.3579 0.3219
Se 0.0000 0.4992 0.0864

E_form (uncorrected), eV per atom: -1.4988
E_tot, eV for the cell shown: -181.43
Calculated volume, A^3/atom: 28.1

---

No. 8
This record from Alexandria via LeMat-Bulk describes SrZn2GeSe after structural relaxation. The functional is PBE.

Lattice parameters (Å, degrees): 5.7276 5.7276 6.0150 90.00 90.00 90.00
Space group P4/mmm (No. 123)
Symmetry-distinct sites (fractional):
Sr 0.0000 0.0000 0.0000
Zn 0.0000 0.5000 0.0000
Ge 0.0000 0.0000 0.5000
Se 0.5000 0.5000 0.5000

E_form (uncorrected), eV per atom: 0.9267
E_tot, eV for the cell shown: -7.70
Calculated volume, A^3/atom: 39.5

---

No. 9
This record from Alexandria via LeMat-Bulk describes Ta2GeSe after structural relaxation. The functional is PBE.

Lattice parameters (Å, degrees): 6.4569 6.4569 6.4569 90.00 90.00 90.00
Space group Fm-3m (No. 225)
Symmetry-distinct sites (fractional):
Ta 0.2500 0.2500 0.2500
Ge 0.0000 0.0000 0.0000
Se 0.0000 0.0000 0.5000

E_form (uncorrected), eV per atom: -0.1161
E_tot, eV for the cell shown: -129.09
Calculated volume, A^3/atom: 16.8
Polymorph energy (0 for the lowest one), kJ/mol of formula units: 0.0

---

No. 10
This record from Alexandria via LeMat-Bulk describes TaGe2Se after structural relaxation. The functional is PBE.

Lattice parameters (Å, degrees): 6.0923 6.0923 11.4685 90.00 90.00 90.00
Space group I-42d (No. 122)
Symmetry-distinct sites (fractional):
Ta 0.0000 0.0000 0.0000
Ge 0.2395 0.2500 0.1250
Se 0.0000 0.0000 0.5000

E_form (uncorrected), eV per atom: 0.6465
E_tot, eV for the cell shown: -87.94
Calculated volume, A^3/atom: 26.6

---

No. 11
This record from Alexandria via LeMat-Bulk describes Ta2GeSe after structural relaxation. The functional is PBE.

Lattice parameters (Å, degrees): 4.0500 4.0500 18.5617 90.00 90.00 90.00
Space group I-42d (No. 122)
Symmetry-distinct sites (fractional):
Ta 0.2478 0.2500 0.1250
Ge 0.0000 0.0000 0.0000
Se 0.0000 0.0000 0.5000

E_form (uncorrected), eV per atom: 0.2958
E_tot, eV for the cell shown: -122.50
Calculated volume, A^3/atom: 19.0
Polymorph energy (0 for the lowest one), kJ/mol of formula units: 159.0

---

No. 12
This record from Alexandria via LeMat-Bulk describes Ta2Ge2Se after structural relaxation. The functional is PBE.

Lattice parameters (Å, degrees): 7.1345 7.1345 3.5116 90.00 90.00 90.00
Space group P4/mbm (No. 127)
Symmetry-distinct sites (fractional):
Ta 0.1587 0.3413 0.0000
Ge 0.1341 0.6341 0.5000
Se 0.0000 0.0000 0.0000

E_form (uncorrected), eV per atom: -0.1277
E_tot, eV for the cell shown: -74.13
Calculated volume, A^3/atom: 17.9